No. 1
GdTh2N: relaxed, PBE-GGA.

Cell lengths 9.946, 9.946, 9.946 Å; angles 20.49, 20.49, 20.49 degrees
Positions (direct):
Gd (0.000, 0.000, 0.000)
Th (0.116, 0.116, 0.116)
Th (0.884, 0.884, 0.884)
N (0.500, 0.500, 0.500)

Computed properties:
- formation energy without anion corrections (eV/atom) = -0.47
- final energy (eV/atom) = -9.78

---

No. 2
Gd2Th4N: relaxed, PBE-GGA.

Cell lengths 9.268, 9.268, 9.268 Å; angles 148.31, 148.31, 45.43 degrees
Positions (direct):
Gd (0.150, 0.150, 0.000)
Gd (0.850, 0.850, 0.000)
Th (0.000, 0.500, 0.500)
Th (0.361, 0.361, 0.000)
Th (0.500, 0.000, 0.500)
Th (0.639, 0.639, 0.000)
N (0.500, 0.500, 0.000)

Computed properties:
- formation energy without anion corrections (eV/atom) = -0.22
- final energy (eV/atom) = -9.68

---

No. 3
Gd2ThN: relaxed, PBE-GGA.

Cell lengths 9.912, 9.912, 9.912 Å; angles 20.12, 20.12, 20.12 degrees
Positions (direct):
Gd (0.120, 0.120, 0.120)
Gd (0.880, 0.880, 0.880)
Th (0.000, 0.000, 0.000)
N (0.500, 0.500, 0.500)

Computed properties:
- formation energy without anion corrections (eV/atom) = -0.62
- final energy (eV/atom) = -11.60

---

No. 4
GdTh3N: relaxed, PBE-GGA.

Cell lengths 5.085, 5.085, 5.085 Å; angles 90.00, 90.00, 90.00 degrees
Positions (direct):
Gd (0.000, 0.000, 0.000)
Th (0.000, 0.500, 0.500)
Th (0.500, 0.000, 0.500)
Th (0.500, 0.500, 0.000)
N (0.500, 0.500, 0.500)

Computed properties:
- formation energy without anion corrections (eV/atom) = -0.61
- final energy (eV/atom) = -9.54

---

No. 5
GdThN2: relaxed, PBE-GGA.

Cell lengths 6.206, 6.206, 6.206 Å; angles 33.84, 33.84, 33.84 degrees
Positions (direct):
Gd (0.000, 0.000, 0.000)
Th (0.500, 0.500, 0.500)
N (0.249, 0.249, 0.249)
N (0.751, 0.751, 0.751)

Computed properties:
- formation energy without anion corrections (eV/atom) = -1.58
- final energy (eV/atom) = -11.12

---

No. 6
GdTiN2: relaxed, PBE-GGA.

Cell lengths 5.705, 5.705, 5.705 Å; angles 32.80, 32.80, 32.80 degrees
Positions (direct):
Gd (0.000, 0.000, 0.000)
Ti (0.500, 0.500, 0.500)
N (0.238, 0.238, 0.238)
N (0.762, 0.762, 0.762)

Computed properties:
- formation energy without anion corrections (eV/atom) = -1.54
- final energy (eV/atom) = -11.20

---

No. 7
Gd3Ti5N12: relaxed, PBE-GGA.

Cell lengths 11.038, 11.038, 11.038 Å; angles 109.47, 109.47, 109.47 degrees
Positions (direct):
Gd (0.125, 0.250, 0.375)
Gd (0.125, 0.375, 0.750)
Gd (0.250, 0.375, 0.125)
Gd (0.250, 0.875, 0.625)
Gd (0.375, 0.125, 0.250)
Gd (0.375, 0.750, 0.125)
Gd (0.625, 0.250, 0.875)
Gd (0.625, 0.875, 0.750)
Gd (0.750, 0.125, 0.375)
Gd (0.750, 0.625, 0.875)
Gd (0.875, 0.625, 0.250)
Gd (0.875, 0.750, 0.625)
Ti (0.000, 0.000, 0.000)
Ti (0.000, 0.000, 0.500)
Ti (0.000, 0.500, 0.000)
Ti (0.000, 0.500, 0.500)
Ti (0.125, 0.750, 0.875)
Ti (0.125, 0.875, 0.250)
Ti (0.250, 0.125, 0.875)
Ti (0.250, 0.625, 0.375)
Ti (0.375, 0.250, 0.625)
Ti (0.375, 0.625, 0.750)
Ti (0.500, 0.000, 0.000)
Ti (0.500, 0.000, 0.500)
Ti (0.500, 0.500, 0.000)
Ti (0.500, 0.500, 0.500)
Ti (0.625, 0.375, 0.250)
Ti (0.625, 0.750, 0.375)
Ti (0.750, 0.375, 0.625)
Ti (0.750, 0.875, 0.125)
Ti (0.875, 0.125, 0.750)
Ti (0.875, 0.250, 0.125)
N (0.026, 0.205, 0.120)
N (0.026, 0.321, 0.907)
N (0.085, 0.705, 0.679)
N (0.085, 0.880, 0.407)
N (0.093, 0.620, 0.415)
N (0.093, 0.974, 0.679)
N (0.120, 0.026, 0.205)
N (0.120, 0.593, 0.915)
N (0.179, 0.205, 0.585)
N (0.179, 0.474, 0.593)
N (0.205, 0.120, 0.026)
N (0.205, 0.585, 0.179)
N (0.295, 0.321, 0.915)
N (0.295, 0.474, 0.380)
N (0.321, 0.907, 0.026)
N (0.321, 0.915, 0.295)
N (0.380, 0.295, 0.474)
N (0.380, 0.585, 0.907)
N (0.407, 0.085, 0.880)
N (0.407, 0.821, 0.526)
N (0.415, 0.093, 0.620)
N (0.415, 0.821, 0.795)
N (0.474, 0.380, 0.295)
N (0.474, 0.593, 0.179)
N (0.526, 0.407, 0.821)
N (0.526, 0.620, 0.705)
N (0.585, 0.179, 0.205)
N (0.585, 0.907, 0.380)
N (0.593, 0.179, 0.474)
N (0.593, 0.915, 0.120)
N (0.620, 0.415, 0.093)
N (0.620, 0.705, 0.526)
N (0.679, 0.085, 0.705)
N (0.679, 0.093, 0.974)
N (0.705, 0.526, 0.620)
N (0.705, 0.679, 0.085)
N (0.795, 0.415, 0.821)
N (0.795, 0.880, 0.974)
N (0.821, 0.526, 0.407)
N (0.821, 0.795, 0.415)
N (0.880, 0.407, 0.085)
N (0.880, 0.974, 0.795)
N (0.907, 0.026, 0.321)
N (0.907, 0.380, 0.585)
N (0.915, 0.120, 0.593)
N (0.915, 0.295, 0.321)
N (0.974, 0.679, 0.093)
N (0.974, 0.795, 0.880)

Computed properties:
- formation energy without anion corrections (eV/atom) = -0.78
- final energy (eV/atom) = -9.86

---

No. 8
Gd2TlN: relaxed, PBE-GGA.

Cell lengths 3.170, 3.170, 8.050 Å; angles 90.00, 90.00, 90.00 degrees
Positions (direct):
Gd (0.000, 0.000, 0.180)
Gd (0.000, 0.000, 0.820)
Tl (0.500, 0.500, 0.500)
N (0.500, 0.500, 0.000)

Computed properties:
- formation energy without anion corrections (eV/atom) = -0.48
- final energy (eV/atom) = -10.20

---

No. 9
GdTlN: relaxed, PBE-GGA.

Cell lengths 6.462, 6.462, 6.462 Å; angles 149.74, 149.74, 43.32 degrees
Positions (direct):
Gd (0.000, 0.000, 0.000)
Tl (0.274, 0.274, 0.000)
N (0.476, 0.476, 0.000)

Computed properties:
- formation energy without anion corrections (eV/atom) = -0.65
- final energy (eV/atom) = -8.91

---

No. 10
Gd2TlN: relaxed, PBE-GGA.

Cell lengths 8.282, 8.282, 8.282 Å; angles 25.06, 25.06, 25.06 degrees
Positions (direct):
Gd (0.223, 0.223, 0.223)
Gd (0.777, 0.777, 0.777)
Tl (0.000, 0.000, 0.000)
N (0.500, 0.500, 0.500)

Computed properties:
- formation energy without anion corrections (eV/atom) = -0.94
- final energy (eV/atom) = -10.65

---

No. 11
Gd2TmN: relaxed, PBE-GGA.

Cell lengths 9.660, 9.660, 9.660 Å; angles 20.80, 20.80, 20.80 degrees
Positions (direct):
Gd (0.119, 0.119, 0.119)
Gd (0.881, 0.881, 0.881)
Tm (0.000, 0.000, 0.000)
N (0.500, 0.500, 0.500)

Computed properties:
- formation energy without anion corrections (eV/atom) = -0.63
- final energy (eV/atom) = -10.87

---

No. 12
GdTm2N: relaxed, PBE-GGA.

Cell lengths 9.539, 9.539, 9.539 Å; angles 20.54, 20.54, 20.54 degrees
Positions (direct):
Gd (0.000, 0.000, 0.000)
Tm (0.120, 0.120, 0.120)
Tm (0.880, 0.880, 0.880)
N (0.500, 0.500, 0.500)

Computed properties:
- energy above the most stable polymorph in this dataset (eV/atom) = 0.000
- formation energy without anion corrections (eV/atom) = -0.73
- final energy (eV/atom) = -8.56